# Ca2TlVO6 (PBE+U, optimized geometry)
data_Ca2TlVO6
_chemical_formula_sum 'Ca2 Tl1 V1 O6'
_space_group_name_H-M_alt 'P 1'
_space_group_IT_number 1
_space_group_name_Hall 'P 1'
_cell_length_a 5.135
_cell_length_b 5.408
_cell_length_c 5.408
_cell_angle_alpha 90.00
_cell_angle_beta 90.00
_cell_angle_gamma 90.00
loop_
_atom_site_label
_atom_site_fract_x
_atom_site_fract_y
_atom_site_fract_z
_atom_site_occupancy
Ca1 0.985 0.500 0.000 1
Ca2 0.985 0.000 0.500 1
Tl1 0.545 0.500 0.500 1
V1 0.606 0.000 0.000 1
O1 0.728 0.231 0.231 1
O2 0.728 0.231 0.769 1
O3 0.140 0.500 0.500 1
O4 0.273 0.000 0.000 1
O5 0.728 0.769 0.769 1
O6 0.728 0.769 0.231 1
# * DFT total energy: -6.356 eV per atom